No. 1
Density functional theory data (PBE-GGA) for an optimized crystal structure of GdHfZr2.

abc: 5.1734 5.1734 12.6585
angles: 90.00 90.00 120.00
With the nearest neighbours (Å) after each atom.
Space group R-3m (No. 166, hexagonal axes)
Symmetry-distinct sites (fractional):
Gd 0.0000 0.0000 0.0000 x3  8 Zr 3.12-3.33
Hf 0.0000 0.0000 0.5000 x3  8 Zr 3.00-3.23
Zr 0.0000 0.0000 0.2630 x6  4 Hf 3.00-3.23, 4 Gd 3.12-3.33

## Properties
Energy above the lowest structure with this stoichiometry: 9.32 kJ/mol of atoms
Calculated formation energy: 0.218 eV per atom
Final energy: -10.065 eV/atom

---

No. 2
Density functional theory data (PBE-GGA) for an optimized crystal structure of SmMgZn2Au5.

abc: 4.8326 4.8326 7.8244
angles: 90.00 90.00 90.00
With the nearest neighbours (Å) after each atom.
Space group P4/mmm (No. 123)
Symmetry-distinct sites (fractional):
Sm 0.0000 0.0000 0.0000 x1  12 Au 3.10-3.42
Mg 0.0000 0.0000 0.5000 x1  8 Au 3.12
Zn 0.5000 0.5000 0.3469 x2  1 Zn 2.40, 4 Au 2.54
Au 0.0000 0.5000 0.2478 x4  2 Zn 2.54
Au 0.5000 0.5000 0.0000 x1  2 Zn 2.71

## Properties
Calculated formation energy: -0.351 eV per atom
Final energy: -3.157 eV/atom

---

No. 3
Density functional theory data (PBE-GGA) for an optimized crystal structure of Mg2CoOs.

abc: 3.0847 4.4497 8.6805
angles: 90.00 90.00 90.00
With the nearest neighbours (Å) after each atom.
Space group Cmmm (No. 65)
Symmetry-distinct sites (fractional):
Mg 0.0000 0.0000 0.2398 x4  2 Co 2.59, 4 Mg 2.71, 2 Os 2.74
Co 0.0000 0.5000 0.0000 x2  4 Mg 2.59, 4 Co 2.71
Os 0.0000 0.5000 0.5000 x2  4 Os 2.71, 4 Mg 2.74

## Properties
Energy above the lowest structure with this stoichiometry: 15.75 kJ/mol of atoms
Calculated formation energy: 0.265 eV per atom
Final energy: -5.116 eV/atom

---

No. 4
Density functional theory data (PBE-GGA) for an optimized crystal structure of OsRuS.

abc: 2.8458 2.8458 11.7754
angles: 90.00 90.00 120.00
With the nearest neighbours (Å) after each atom.
Space group P-6m2 (No. 187)
Symmetry-distinct sites (fractional):
Os 0.0000 0.0000 0.0000 x1  6 Ru 2.67, 6 Os 2.85
Os 0.0000 0.0000 0.5000 x1  6 S 2.50
Ru 0.6667 0.3333 0.1788 x2  3 S 2.52, 3 Os 2.67
S 0.3333 0.6667 0.3405 x2  3 Os 2.50, 3 Ru 2.52

## Properties
Uncorrected formation energy: 0.253 eV/atom
Final energy: -7.958 eV/atom

---

No. 5
Density functional theory data (PBE-GGA) for an optimized crystal structure of Be2TcW.

abc: 2.7044 2.7044 24.2074
angles: 90.00 90.00 120.00
With the nearest neighbours (Å) after each atom.
Space group R-3m (No. 166, hexagonal axes)
Symmetry-distinct sites (fractional):
Be 0.0000 0.0000 0.2475 x6  3 Tc 2.50, 3 W 2.60, 6 Be 2.70
Tc 0.0000 0.0000 0.5000 x3  6 Be 2.50, 6 Tc 2.70
W 0.0000 0.0000 0.0000 x3  6 Be 2.60, 6 W 2.70

## Properties
Energy above the lowest structure with this stoichiometry: 53.20 kJ/mol of atoms
Calculated formation energy: 0.330 eV per atom
Final energy: -7.363 eV/atom

---

No. 6
Density functional theory data (PBE-GGA) for an optimized crystal structure of HfTaNi2.

abc: 6.6727 3.5141 10.5198
angles: 90.00 90.00 90.00
With the nearest neighbours (Å) after each atom.
Space group Pnma (No. 62)
Symmetry-distinct sites (fractional):
Hf 0.2198 0.2500 0.1748 x4  6 Ni 2.60-2.73
Ta 0.0765 0.7500 0.4094 x4  4 Ni 2.55-2.64, 2 Ta 2.79
Ni 0.0683 0.2500 0.8209 x4  3 Ni 2.50-2.54, 2 Ta 2.55-2.61, 4 Hf 2.60-2.73
Ni 0.1511 0.7500 0.9815 x4  5 Ni 2.50-2.70, 2 Ta 2.64, 2 Hf 2.73

## Properties
Energy above the lowest structure with this stoichiometry: 0.00 kJ/mol of atoms
Calculated formation energy: -0.293 eV per atom
Final energy: -8.635 eV/atom

---

No. 7
Density functional theory data (PBE-GGA) for an optimized crystal structure of Ac2UAs3Pt4.

abc: 4.3842 4.3842 11.5645
angles: 90.00 90.00 90.00
With the nearest neighbours (Å) after each atom.
Space group P-4m2 (No. 115)
Symmetry-distinct sites (fractional):
Ac 0.0000 0.5000 0.2247 x2  4 As 3.33, 8 Pt 3.37-3.40
U 0.0000 0.0000 0.5000 x1  4 Pt 2.87, 4 As 3.10
As 0.0000 0.5000 0.8797 x2  5 Pt 2.53-2.60
As 0.5000 0.5000 0.5000 x1  4 Pt 2.87, 4 U 3.10
Pt 0.0000 0.0000 0.0000 x1  4 As 2.60
Pt 0.0000 0.5000 0.6607 x2  1 As 2.53
Pt 0.5000 0.5000 0.0000 x1  4 As 2.60

## Properties
Calculated formation energy: -0.818 eV per atom
Final energy: -6.579 eV/atom

---

No. 8
Density functional theory data (PBE-GGA) for an optimized crystal structure of FePt2Rh.

abc: 3.9503 3.9503 15.2851
angles: 90.00 90.00 120.00
With the nearest neighbours (Å) after each atom.
Space group R3m (No. 160, hexagonal axes)
Symmetry-distinct sites (fractional):
Fe 0.0000 0.0000 0.0000 x3  1 Rh 2.58, 6 Pt 2.61-2.63
Pt 0.0000 0.0000 0.5812 x3  1 Pt 2.58, 3 Rh 2.58, 3 Fe 2.63
Pt 0.0000 0.0000 0.7501 x3  1 Pt 2.58, 3 Fe 2.61, 3 Rh 2.63
Rh 0.0000 0.0000 0.1685 x3  1 Fe 2.58, 6 Pt 2.58-2.63

## Properties
Calculated formation energy: 0.368 eV per atom
Final energy: -6.606 eV/atom

---

No. 9
Density functional theory data (PBE-GGA) for an optimized crystal structure of MgScI.

abc: 3.6603 3.6603 15.5966
angles: 90.00 90.00 120.00
With the nearest neighbours (Å) after each atom.
Space group P-6m2 (No. 187)
Symmetry-distinct sites (fractional):
Mg 0.0000 0.0000 0.0000 x1  6 Sc 3.23
Mg 0.0000 0.0000 0.5000 x1  2 I 3.32, 6 Mg 3.66
Sc 0.3333 0.6667 0.1569 x2  3 I 2.93, 3 Mg 3.23
I 0.0000 0.0000 0.2874 x2  3 Sc 2.93

## Properties
Uncorrected formation energy: -0.278 eV/atom
Final energy: -3.437 eV/atom

---

No. 10
Density functional theory data (PBE-GGA) for an optimized crystal structure of ReHgSb.

abc: 4.9528 4.9528 2.8427
angles: 90.00 90.00 120.00
With the nearest neighbours (Å) after each atom.
Space group P-6m2 (No. 187)
Symmetry-distinct sites (fractional):
Re 0.0000 0.0000 0.0000 x1  2 Re 2.84, 3 Sb 2.86
Hg 0.3333 0.6667 0.5000 x1  2 Hg 2.84
Sb 0.6667 0.3333 0.0000 x1  2 Sb 2.84, 3 Re 2.86

## Properties
Energy above the lowest structure with this stoichiometry: 29.65 kJ/mol of atoms
Uncorrected formation energy: 0.907 eV/atom
Final energy: -4.717 eV/atom

---

No. 11
Density functional theory data (PBE-GGA) for an optimized crystal structure of HgH.

abc: 6.2509 6.2509 6.2509
angles: 90.00 90.00 90.00
With the nearest neighbours (Å) after each atom.
Space group Pm-3n (No. 223)
Symmetry-distinct sites (fractional):
Hg 0.0000 0.2500 0.5000 x6  4 H 2.21
H 0.0000 0.5000 0.2500 x6  4 Hg 2.21

## Properties
Energy above the lowest structure with this stoichiometry: 54.27 kJ/mol of atoms
Final energy: -1.243 eV/atom

---

No. 12
Density functional theory data (PBE-GGA) for an optimized crystal structure of Ta2SiRu6.

abc: 13.2350 4.2855 6.0133
angles: 90.00 116.97 90.00
With the nearest neighbours (Å) after each atom.
Space group C2/m (No. 12)
Symmetry-distinct sites (fractional):
Ta 0.1661 0.0000 0.1664 x4  8 Ru 2.58-2.62
Si 0.0000 0.5000 0.5000 x2  8 Ru 2.40-2.49
Ru 0.9997 0.0000 0.2894 x4  2 Si 2.49, 1 Ru 2.53, 2 Ta 2.62
Ru 0.1572 0.5000 0.4046 x4  1 Si 2.40, 3 Ta 2.58-2.61
Ru 0.1571 0.5000 0.9099 x4  1 Si 2.40, 3 Ta 2.58-2.61

## Properties
Uncorrected formation energy: 0.176 eV/atom
Final energy: -9.244 eV/atom

---

No. 13
Density functional theory data (PBE-GGA) for an optimized crystal structure of Sm7YMg2.

abc: 8.7987 16.6150 5.3322
angles: 90.00 90.00 90.00
With the nearest neighbours (Å) after each atom.
Space group Cmmm (No. 65)
Symmetry-distinct sites (fractional):
Sm 0.0000 0.0000 0.0000 x2  2 Mg 3.36, 4 Sm 3.37
Sm 0.0000 0.2879 0.5000 x4  2 Mg 3.02
Sm 0.1834 0.3860 0.0000 x8  2 Mg 3.15-3.46, 4 Sm 3.23-3.52
Y 0.0000 0.5000 0.5000 x2  10 Sm 3.52-3.65
Mg 0.0000 0.2020 0.0000 x4  5 Sm 3.02-3.36

## Properties
Calculated formation energy: 0.538 eV per atom
Final energy: -3.731 eV/atom

---

No. 14
Density functional theory data (PBE-GGA) for an optimized crystal structure of NdYSn.

abc: 3.7340 3.7546 13.1300
angles: 90.03 90.02 90.63
With the nearest neighbours (Å) after each atom.
Space group P-1 (No. 2)
Symmetry-distinct sites (fractional):
Nd 0.2494 0.2495 0.0973 x2  4 Y 3.62-3.64, 8 Nd 3.66-3.75
Y 0.2506 0.2503 0.7132 x2  5 Sn 3.29-3.63, 4 Nd 3.62-3.64
Sn 0.2497 0.2498 0.4369 x2  4 Sn 3.11-3.14, 4 Y 3.29-3.31

## Properties
Energy above the lowest structure with this stoichiometry: 40.29 kJ/mol of atoms
Calculated formation energy: -0.185 eV per atom
Final energy: -5.263 eV/atom

---

No. 15
Density functional theory data (PBE-GGA) for an optimized crystal structure of Nd6SeO8.

abc: 6.8187 6.8187 19.4324
angles: 90.00 90.00 120.00
With the nearest neighbours (Å) after each atom.
Space group R-3 (No. 148, hexagonal axes)
Symmetry-distinct sites (fractional):
Nd 0.0085 0.6887 0.2443 x18  5 O 2.33-2.60
Se 0.0000 0.0000 0.0000 x3  6 Nd 2.94, 6 O 3.23
O 0.0000 0.0000 0.3191 x6  3 Nd 2.60
O 0.0056 0.6584 0.7882 x18  4 Nd 2.33-2.40

## Properties
Uncorrected formation energy: -3.148 eV/atom
Final energy: -7.931 eV/atom

---

No. 16
Density functional theory data (PBE-GGA) for an optimized crystal structure of MgIn4Se.

abc: 8.7005 8.7005 8.7005
angles: 90.00 90.00 90.00
With the nearest neighbours (Å) after each atom.
Space group F-43m (No. 216)
Symmetry-distinct sites (fractional):
Mg 0.0000 0.0000 0.0000 x4  12 In 3.61, 4 Se 3.77
In 0.1250 0.1250 0.3750 x16  6 In 3.08
Se 0.2500 0.2500 0.7500 x4  12 In 3.61, 4 Mg 3.77

## Properties
Uncorrected formation energy: 0.122 eV/atom
Final energy: -2.550 eV/atom

---

No. 17
Density functional theory data (PBE-GGA) for an optimized crystal structure of Tl2HgHPb.

abc: 4.7302 4.7302 5.5910
angles: 90.00 90.00 90.00
With the nearest neighbours (Å) after each atom.
Space group P4/mmm (No. 123)
Symmetry-distinct sites (fractional):
Tl 0.0000 0.5000 0.0000 x2  2 H 2.37
Hg 0.0000 0.0000 0.5000 x1  2 H 2.80
H 0.0000 0.0000 0.0000 x1  4 Tl 2.37
Pb 0.5000 0.5000 0.5000 x1  4 Hg 3.34, 8 Tl 3.66

## Properties
Energy above the lowest structure with this stoichiometry: 2.58 kJ/mol of atoms
Final energy: -2.196 eV/atom

---

No. 18
Density functional theory data (PBE-GGA) for an optimized crystal structure of Rb7ClO2.

abc: 12.6160 15.5327 5.5605
angles: 90.00 90.00 90.00
With the nearest neighbours (Å) after each atom.
Space group Cmmm (No. 65)
Symmetry-distinct sites (fractional):
Rb 0.0000 0.0000 0.0000 x2  2 O 2.79
Rb 0.1547 0.3702 0.0000 x8  1 O 2.55
Rb 0.2165 0.0000 0.5000 x4  2 O 2.78
Cl 0.0000 0.5000 0.5000 x2  10 Rb 3.58-3.95
O 0.2213 0.0000 0.0000 x4  5 Rb 2.55-2.79

## Properties
Uncorrected formation energy: -0.845 eV/atom
Final energy: -2.698 eV/atom

---

No. 19
Density functional theory data (PBE-GGA) for an optimized crystal structure of SiMoCl2.

abc: 2.9162 4.6122 13.7561
angles: 90.00 90.00 90.00
With the nearest neighbours (Å) after each atom.
Space group Imm2 (No. 44)
Symmetry-distinct sites (fractional):
Si 0.0000 0.0000 0.0000 x2  2 Mo 2.62, 2 Si 2.92, 2 Cl 2.93
Mo 0.0000 0.5000 0.3419 x2  2 Cl 2.42, 2 Si 2.62
Cl 0.0000 0.0000 0.7016 x2  2 Mo 2.42
Cl 0.0000 0.5000 0.8691 x2  4 Mo 2.75, 2 Cl 2.92, 2 Si 2.93

## Properties
Energy above the lowest structure with this stoichiometry: 56.46 kJ/mol of atoms
Uncorrected formation energy: 0.247 eV/atom
Final energy: -4.740 eV/atom

---

No. 20
Density functional theory data (PBE-GGA) for an optimized crystal structure of K2ScI2.

abc: 8.8241 8.8241 4.8484
angles: 90.00 90.00 90.00
With the nearest neighbours (Å) after each atom.
Space group P4/mbm (No. 127)
Symmetry-distinct sites (fractional):
K 0.1477 0.3523 0.0000 x4  6 I 3.37-3.67, 1 K 3.69
Sc 0.0000 0.0000 0.5000 x2  4 I 3.30
I 0.1646 0.6646 0.5000 x4  2 Sc 3.30, 6 K 3.37-3.67

## Properties
Energy above the lowest structure with this stoichiometry: 0.00 kJ/mol of atoms
Uncorrected formation energy: -0.569 eV/atom
Final energy: -2.895 eV/atom